Record 1
KSrTi2Al | PBE-GGA | relaxed

Results
The crystal system is tetragonal. The calculation puts the total magnetization at 2.081 μB per formula unit. The calculation puts the calculated formation energy at 1.5544 eV per atom. The distance to the lowest polymorph of the same formula is 0.711 eV/atom.

a b c (Å): 4.934 4.934 5.635
angles (deg): 90.00 90.00 90.00
Fractional positions:
K (0.000, 0.000, 0.000)
Sr (0.500, 0.500, 0.500)
Ti (0.000, 0.500, 0.000)
Ti (0.500, 0.000, 0.000)
Al (0.000, 0.000, 0.500)

***

Record 2
KSrTi2Al | PBE-GGA | relaxed

Results
The crystal system is tetragonal. The calculation puts the total magnetization at 4.138 μB per formula unit. The calculation puts the calculated formation energy at 0.8430 eV per atom. The distance to the lowest polymorph of the same formula is 0.000 eV/atom.

a b c (Å): 5.202 5.202 6.079
angles (deg): 90.00 90.00 90.00
Fractional positions:
K (0.000, 0.000, 0.000)
Sr (0.500, 0.500, 0.000)
Ti (0.000, 0.500, 0.500)
Ti (0.500, 0.000, 0.500)
Al (0.000, 0.000, 0.500)

***

Record 3
KTaAl2 | PBE-GGA | relaxed

Results
The crystal system is orthorhombic. The calculation puts the total magnetization at 0.000 μB per formula unit. The calculation puts the calculated formation energy at 0.5035 eV per atom. The distance to the lowest polymorph of the same formula is 0.304 eV/atom.

a b c (Å): 7.463 7.485 2.894
angles (deg): 90.00 90.00 90.00
Fractional positions:
K (0.000, 0.000, 0.000)
K (0.500, 0.500, 0.000)
Ta (0.000, 0.500, 0.000)
Ta (0.500, 0.000, 0.000)
Al (0.250, 0.250, 0.500)
Al (0.250, 0.750, 0.500)
Al (0.750, 0.250, 0.500)
Al (0.750, 0.750, 0.500)

***

Record 4
K2TaAl | PBE-GGA | relaxed

Results
The crystal system is orthorhombic. The calculation puts the total magnetization at 0.000 μB per formula unit. The calculation puts the calculated formation energy at 0.9829 eV per atom.

a b c (Å): 3.322 4.945 12.645
angles (deg): 90.00 90.00 90.00
Fractional positions:
K (0.000, 0.000, 0.244)
K (0.000, 0.000, 0.756)
K (0.500, 0.500, 0.244)
K (0.500, 0.500, 0.756)
Ta (0.000, 0.500, 0.500)
Ta (0.500, 0.000, 0.500)
Al (0.000, 0.500, 0.000)
Al (0.500, 0.000, 0.000)

***

Record 5
KTaAl2 | PBE-GGA | relaxed

Results
The crystal system is trigonal. The calculation puts the total magnetization at 0.000 μB per formula unit. The calculation puts the calculated formation energy at 0.3001 eV per atom. The distance to the lowest polymorph of the same formula is 0.100 eV/atom.

a b c (Å): 3.024 3.024 31.849
angles (deg): 90.00 90.00 120.00
Fractional positions:
K (0.000, 0.000, 0.000)
K (0.333, 0.667, 0.667)
K (0.667, 0.333, 0.333)
Ta (0.000, 0.000, 0.500)
Ta (0.333, 0.667, 0.167)
Ta (0.667, 0.333, 0.833)
Al (0.000, 0.000, 0.238)
Al (0.000, 0.000, 0.762)
Al (0.333, 0.667, 0.429)
Al (0.333, 0.667, 0.904)
Al (0.667, 0.333, 0.096)
Al (0.667, 0.333, 0.571)

***

Record 6
KTaAl2 | PBE-GGA | relaxed

Results
The crystal system is orthorhombic. The calculation puts the total magnetization at 0.000 μB per formula unit. The calculation puts the calculated formation energy at 0.5783 eV per atom. The distance to the lowest polymorph of the same formula is 0.379 eV/atom.

a b c (Å): 2.845 5.411 11.145
angles (deg): 90.00 90.00 90.00
Fractional positions:
K (0.000, 0.000, 0.000)
K (0.500, 0.500, 0.500)
Ta (0.000, 0.500, 0.791)
Ta (0.500, 0.000, 0.291)
Al (0.000, 0.000, 0.502)
Al (0.000, 0.500, 0.225)
Al (0.500, 0.000, 0.725)
Al (0.500, 0.500, 0.002)

***

Record 7
KTa2Al | PBE-GGA | relaxed

Results
The crystal system is tetragonal. The calculation puts the total magnetization at 0.000 μB per formula unit. The calculation puts the calculated formation energy at 1.2650 eV per atom.

a b c (Å): 4.298 4.298 4.432
angles (deg): 90.00 90.00 90.00
Fractional positions:
K (0.000, 0.000, 0.000)
Ta (0.000, 0.500, 0.500)
Ta (0.500, 0.000, 0.500)
Al (0.500, 0.500, 0.000)

***

Record 8
KTa2Al | PBE-GGA | relaxed

Results
The crystal system is tetragonal. The calculation puts the total magnetization at 0.000 μB per formula unit. The calculation puts the calculated formation energy at 1.2788 eV per atom.

a b c (Å): 4.301 4.301 8.812
angles (deg): 90.00 90.00 90.00
Fractional positions:
K (0.000, 0.000, 0.000)
K (0.500, 0.500, 0.500)
Ta (0.000, 0.500, 0.250)
Ta (0.000, 0.500, 0.750)
Ta (0.500, 0.000, 0.250)
Ta (0.500, 0.000, 0.750)
Al (0.000, 0.000, 0.500)
Al (0.500, 0.500, 0.000)

***

Record 9
K4TaAl | PBE-GGA | relaxed

Results
The crystal system is cubic. The calculation puts the total magnetization at 3.804 μB per formula unit. The calculation puts the calculated formation energy at 1.3107 eV per atom.

a b c (Å): 6.830 6.830 6.830
angles (deg): 60.00 60.00 60.00
Fractional positions:
K (0.125, 0.125, 0.125)
K (0.125, 0.125, 0.625)
K (0.125, 0.625, 0.125)
K (0.625, 0.125, 0.125)
Ta (0.750, 0.750, 0.750)
Al (0.500, 0.500, 0.500)

***

Record 10
KTa2Al | PBE-GGA | relaxed

Results
The crystal system is orthorhombic. The calculation puts the total magnetization at 0.513 μB per formula unit. The calculation puts the calculated formation energy at 1.0072 eV per atom.

a b c (Å): 2.944 5.726 11.012
angles (deg): 90.00 90.00 90.00
Fractional positions:
K (0.000, 0.000, 0.000)
K (0.500, 0.500, 0.500)
Ta (0.000, 0.000, 0.493)
Ta (0.000, 0.500, 0.792)
Ta (0.500, 0.000, 0.292)
Ta (0.500, 0.500, 0.993)
Al (0.000, 0.500, 0.220)
Al (0.500, 0.000, 0.720)

***

Record 11
K2TaAl | PBE-GGA | relaxed

Results
The crystal system is tetragonal. The calculation puts the total magnetization at 0.000 μB per formula unit. The calculation puts the calculated formation energy at 1.0663 eV per atom.

a b c (Å): 4.141 4.141 12.181
angles (deg): 90.00 90.00 90.00
Fractional positions:
K (0.000, 0.500, 0.250)
K (0.000, 0.500, 0.750)
K (0.500, 0.000, 0.250)
K (0.500, 0.000, 0.750)
Ta (0.000, 0.000, 0.000)
Ta (0.500, 0.500, 0.500)
Al (0.000, 0.000, 0.500)
Al (0.500, 0.500, 0.000)

***

Record 12
K2TaAl | PBE-GGA | relaxed

Results
The crystal system is monoclinic. The calculation puts the total magnetization at 1.030 μB per formula unit. The calculation puts the calculated formation energy at 1.0166 eV per atom.

a b c (Å): 6.131 12.634 2.944
angles (deg): 90.00 116.64 90.00
Fractional positions:
K (0.250, 0.250, 0.000)
K (0.250, 0.750, 0.000)
K (0.750, 0.250, 0.000)
K (0.750, 0.750, 0.000)
Ta (0.000, 0.000, 0.500)
Ta (0.500, 0.500, 0.500)
Al (0.000, 0.500, 0.500)
Al (0.500, 0.000, 0.500)

***

Record 13
KTaAl2 | PBE-GGA | relaxed

Results
The crystal system is orthorhombic. The calculation puts the total magnetization at 1.072 μB per formula unit. The calculation puts the calculated formation energy at 0.9987 eV per atom. The distance to the lowest polymorph of the same formula is 0.799 eV/atom.

a b c (Å): 2.778 5.409 6.096
angles (deg): 90.00 90.00 90.00
Fractional positions:
K (0.000, 0.000, 0.000)
Ta (0.500, 0.000, 0.500)
Al (0.000, 0.500, 0.500)
Al (0.500, 0.500, 0.000)

***

Record 14
KTa2Al | PBE-GGA | relaxed

Results
The crystal system is trigonal. The calculation puts the total magnetization at 0.000 μB per formula unit. The calculation puts the calculated formation energy at 0.6067 eV per atom.

a b c (Å): 2.938 2.938 33.864
angles (deg): 90.00 90.00 120.00
Fractional positions:
K (0.000, 0.000, 0.000)
K (0.333, 0.667, 0.667)
K (0.667, 0.333, 0.333)
Ta (0.000, 0.000, 0.236)
Ta (0.000, 0.000, 0.764)
Ta (0.333, 0.667, 0.430)
Ta (0.333, 0.667, 0.903)
Ta (0.667, 0.333, 0.097)
Ta (0.667, 0.333, 0.570)
Al (0.000, 0.000, 0.500)
Al (0.333, 0.667, 0.167)
Al (0.667, 0.333, 0.833)

***

Record 15
KTaAl2 | PBE-GGA | relaxed

Results
The crystal system is orthorhombic. The calculation puts the total magnetization at 0.001 μB per formula unit. The calculation puts the calculated formation energy at 0.4319 eV per atom. The distance to the lowest polymorph of the same formula is 0.232 eV/atom.

a b c (Å): 2.854 3.759 8.784
angles (deg): 90.00 90.00 90.00
Fractional positions:
K (0.000, 0.000, 0.000)
Ta (0.500, 0.500, 0.354)
Al (0.000, 0.000, 0.517)
Al (0.500, 0.500, 0.682)

***

Number 1: N(E_F) 0.778 states/eV/atom. Number 2: N(E_F) 1.375 states/eV/atom. Number 3: N(E_F) 0.610 states/eV/atom. Number 4: N(E_F) 0.683 states/eV/atom. Number 5: N(E_F) 1.044 states/eV/atom. Number 6: N(E_F) 0.880 states/eV/atom. Number 7: N(E_F) 0.782 states/eV/atom. Number 8: N(E_F) 0.732 states/eV/atom. Number 9: N(E_F) 1.022 states/eV/atom. Number 10: N(E_F) 0.720 states/eV/atom. Number 11: N(E_F) 0.580 states/eV/atom. Number 12: N(E_F) 0.852 states/eV/atom. Number 13: N(E_F) 0.810 states/eV/atom. Number 14: N(E_F) 1.000 states/eV/atom. Number 15: N(E_F) 0.547 states/eV/atom.